This record from Alexandria via LeMat-Bulk describes a geometry-optimized La3PrY12 structure. The functional is GGA-PBE.

Results
DFT formation energy	0.03	eV per atom
electronic total energy	-0.22199	Ha/atom

```
data_La3PrY12
_chemical_formula_sum 'La3 Pr1 Y12'
_cell_length_a 5.117
_cell_length_b 5.117
_cell_length_c 20.454
_cell_angle_alpha 90.00
_cell_angle_beta 90.00
_cell_angle_gamma 90.00
_space_group_name_H-M_alt 'P 1'
_space_group_IT_number 1
_space_group_name_Hall 'P 1'
loop_
_atom_site_label
_atom_site_fract_x
_atom_site_fract_y
_atom_site_fract_z
Y1 0.500 0.500 0.249
Y2 0.000 0.500 0.124
Y3 0.500 0.500 0.500
Y4 0.500 0.000 0.124
Y5 0.000 0.500 0.876
Y6 0.500 0.000 0.876
Y7 0.000 0.500 0.375
La1 0.000 0.000 0.500
Y8 0.000 0.500 0.625
Pr1 0.000 0.000 0.000
Y9 0.500 0.500 0.000
Y10 0.500 0.000 0.625
Y11 0.500 0.500 0.751
La2 0.000 0.000 0.250
Y12 0.500 0.000 0.375
La3 0.000 0.000 0.750
```

This record from Alexandria via LeMat-Bulk describes a geometry-optimized PaBiAuN structure. The functional is GGA-PBE.

Results
E_form (uncorrected)	-0.794	eV/atom
electronic total energy	-0.25869	Ha/atom

```
data_PaBiAuN
_chemical_formula_sum 'Pa2 Bi2 Au2 N2'
_cell_length_a 3.857
_cell_length_b 3.857
_cell_length_c 14.210
_cell_angle_alpha 82.20
_cell_angle_beta 82.20
_cell_angle_gamma 60.00
_space_group_name_H-M_alt 'P 1'
_space_group_IT_number 1
_space_group_name_Hall 'P 1'
loop_
_atom_site_label
_atom_site_fract_x
_atom_site_fract_y
_atom_site_fract_z
Pa1 0.632 0.632 0.104
N1 0.313 0.313 0.060
Bi1 0.800 0.800 0.600
Au1 0.084 0.084 0.749
Au2 0.916 0.916 0.251
Bi2 0.200 0.200 0.400
N2 0.687 0.687 0.940
Pa2 0.368 0.368 0.896
```

This record from Alexandria via LeMat-Bulk describes a geometry-optimized Sr2La2CuRuO8 structure. The functional is GGA-PBE.

Results
E_form (uncorrected)	-2.290	eV/atom
electronic total energy	-0.25808	Ha/atom

```
data_Sr2La2CuRuO8
_chemical_formula_sum 'Sr2 La2 Cu1 Ru1 O8'
_cell_length_a 3.888
_cell_length_b 3.888
_cell_length_c 12.722
_cell_angle_alpha 90.00
_cell_angle_beta 90.00
_cell_angle_gamma 90.00
_space_group_name_H-M_alt 'P 1'
_space_group_IT_number 1
_space_group_name_Hall 'P 1'
loop_
_atom_site_label
_atom_site_fract_x
_atom_site_fract_y
_atom_site_fract_z
O1 0.000 0.000 0.828
Cu1 0.000 0.000 0.000
Sr1 0.000 0.000 0.358
O2 0.000 0.000 0.172
O3 0.500 0.500 0.670
Sr2 0.000 0.000 0.642
O4 0.000 0.500 0.000
La1 0.500 0.500 0.141
Ru1 0.500 0.500 0.500
O5 0.500 0.500 0.330
O6 0.000 0.500 0.500
O7 0.500 0.000 0.000
La2 0.500 0.500 0.859
O8 0.500 0.000 0.500
```

This record from Alexandria via LeMat-Bulk describes a geometry-optimized Rb6MgS4 structure. The functional is GGA-PBE.

Results
E_form (uncorrected)	-1.135	eV/atom
electronic total energy	-0.12158	Ha/atom

```
data_Rb6MgS4
_chemical_formula_sum 'Rb12 Mg2 S8'
_cell_length_a 8.121
_cell_length_b 10.360
_cell_length_c 10.360
_cell_angle_alpha 120.00
_cell_angle_beta 90.00
_cell_angle_gamma 90.00
_space_group_name_H-M_alt 'P 1'
_space_group_IT_number 1
_space_group_name_Hall 'P 1'
loop_
_atom_site_label
_atom_site_fract_x
_atom_site_fract_y
_atom_site_fract_z
Rb1 0.458 0.147 0.853
Mg1 0.247 0.667 0.333
Rb2 0.135 0.469 0.938
S1 0.344 0.398 0.199
Rb3 0.958 0.853 0.147
S2 0.436 0.333 0.667
S3 0.936 0.667 0.333
Rb4 0.135 0.062 0.531
Mg2 0.747 0.333 0.667
S4 0.344 0.801 0.602
Rb5 0.135 0.469 0.531
S5 0.844 0.199 0.398
S6 0.344 0.801 0.199
Rb6 0.458 0.707 0.853
Rb7 0.635 0.531 0.469
Rb8 0.458 0.147 0.293
Rb9 0.635 0.531 0.062
Rb10 0.958 0.293 0.147
S7 0.844 0.199 0.801
Rb11 0.958 0.853 0.707
S8 0.844 0.602 0.801
Rb12 0.635 0.938 0.469
```

This record from Alexandria via LeMat-Bulk describes a geometry-optimized BeVTcPd structure. The functional is GGA-PBE.

Results
DFT formation energy	-0.22	eV per atom
electronic total energy	-0.26889	Ha/atom

```
data_BeVTcPd
_chemical_formula_sum 'Be1 V1 Tc1 Pd1'
_cell_length_a 4.175
_cell_length_b 4.175
_cell_length_c 4.175
_cell_angle_alpha 60.00
_cell_angle_beta 60.00
_cell_angle_gamma 60.00
_space_group_name_H-M_alt 'P 1'
_space_group_IT_number 1
_space_group_name_Hall 'P 1'
loop_
_atom_site_label
_atom_site_fract_x
_atom_site_fract_y
_atom_site_fract_z
Tc1 0.250 0.250 0.250
Pd1 0.750 0.750 0.750
Be1 0.000 0.000 0.000
V1 0.500 0.500 0.500
```

This record from Alexandria via LeMat-Bulk describes a geometry-optimized CePmIn2 structure. The functional is GGA-PBE.

Results
DFT formation energy	-0.42	eV per atom
electronic total energy	-0.16395	Ha/atom

```
data_CePmIn2
_chemical_formula_sum 'Ce1 Pm1 In2'
_cell_length_a 3.504
_cell_length_b 3.504
_cell_length_c 9.116
_cell_angle_alpha 90.00
_cell_angle_beta 90.00
_cell_angle_gamma 90.00
_space_group_name_H-M_alt 'P 1'
_space_group_IT_number 1
_space_group_name_Hall 'P 1'
loop_
_atom_site_label
_atom_site_fract_x
_atom_site_fract_y
_atom_site_fract_z
In1 0.000 0.000 0.749
Pm1 0.500 0.500 0.500
In2 0.000 0.000 0.251
Ce1 0.500 0.500 0.000
```

This record from Alexandria via LeMat-Bulk describes a geometry-optimized Tl2RhPb structure. The functional is GGA-PBE.

Results
relative energy among the computed polymorphs	103.4	meV/atom
DFT formation energy	0.14	eV per atom
electronic total energy	-0.13983	Ha/atom

```
data_Tl2RhPb
_chemical_formula_sum 'Tl2 Rh1 Pb1'
_cell_length_a 3.289
_cell_length_b 3.289
_cell_length_c 9.013
_cell_angle_alpha 90.00
_cell_angle_beta 90.00
_cell_angle_gamma 90.00
_space_group_name_H-M_alt 'P 1'
_space_group_IT_number 1
_space_group_name_Hall 'P 1'
loop_
_atom_site_label
_atom_site_fract_x
_atom_site_fract_y
_atom_site_fract_z
Tl1 0.000 0.000 0.695
Rh1 0.500 0.500 0.500
Tl2 0.000 0.000 0.305
Pb1 0.500 0.500 0.000
```

This record from Alexandria via LeMat-Bulk describes a geometry-optimized Dy3HgS2 structure. The functional is GGA-PBE.

Results
E_form (uncorrected)	-1.243	eV/atom
electronic total energy	-0.18265	Ha/atom

```
data_Dy3HgS2
_chemical_formula_sum 'Dy6 Hg2 S4'
_cell_length_a 4.651
_cell_length_b 6.726
_cell_length_c 9.917
_cell_angle_alpha 90.00
_cell_angle_beta 90.00
_cell_angle_gamma 110.23
_space_group_name_H-M_alt 'P 1'
_space_group_IT_number 1
_space_group_name_Hall 'P 1'
loop_
_atom_site_label
_atom_site_fract_x
_atom_site_fract_y
_atom_site_fract_z
Dy1 0.104 0.208 0.750
Hg1 0.770 0.540 0.750
Dy2 0.364 0.728 0.554
Dy3 0.636 0.272 0.446
S1 0.000 0.000 0.000
Dy4 0.636 0.272 0.054
Dy5 0.896 0.792 0.250
S2 0.512 0.025 0.750
Hg2 0.230 0.460 0.250
S3 0.488 0.975 0.250
Dy6 0.364 0.728 0.946
S4 0.000 0.000 0.500
```